(1)
ErSc2Sb: optimized geometry, PBE.

Cell lengths 4.352, 4.361, 10.865 Å; angles 101.57, 90.00, 90.00 degrees
Element x y z (fractional)
Sc  0.250  0.942  0.883
Sc  0.250  0.557  0.115
Sc  0.750  0.058  0.117
Sb  0.750  0.839  0.677
Sb  0.250  0.161  0.323
Er  0.750  0.692  0.385
Er  0.250  0.308  0.615
Sc  0.750  0.443  0.885

Electronic total energy in eV/atom: -5.9473
SG: Cmcm
Uncorrected formation energy in eV/atom: -0.610
Fermi-level density of states in states/eV per atom: 1.3855
Energy above the most stable polymorph in this dataset in meV/atom: 0

(2)
Er2Sc3Sb2: optimized geometry, PBE.

Cell lengths 4.157, 6.113, 8.065 Å; angles 109.14, 90.00, 109.88 degrees
Element x y z (fractional)
Sc  0.500  0.000  0.000
Er  0.873  0.745  0.223
Sc  0.625  0.250  0.444
Sc  0.375  0.750  0.556
Sb  0.167  0.334  0.202
Sb  0.833  0.666  0.798
Er  0.127  0.255  0.777

Electronic total energy in eV/atom: -5.8274
SG: C2/m
Uncorrected formation energy in eV/atom: -0.632
Fermi-level density of states in states/eV per atom: 1.1678

(3)
Er5Sc2Sb4: optimized geometry, PBE.

Cell lengths 4.165, 7.471, 11.236 Å; angles 113.89, 100.68, 90.00 degrees
Element x y z (fractional)
Er  0.173  0.904  0.347
Sc  0.573  0.540  0.146
Sb  0.978  0.258  0.955
Er  0.855  0.661  0.710
Sb  0.022  0.742  0.045
Sb  0.283  0.319  0.565
Er  0.827  0.096  0.653
Sc  0.427  0.460  0.854
Er  0.145  0.339  0.290
Er  0.500  0.000  0.000
Sb  0.717  0.681  0.435

Electronic total energy in eV/atom: -5.3528
SG: C2/m
Uncorrected formation energy in eV/atom: -0.629
Fermi-level density of states in states/eV per atom: 0.5897

(4)
ErSc3Sb4: optimized geometry, PBE.

Cell lengths 5.962, 5.962, 5.962 Å; angles 90.00, 90.00, 90.00 degrees
Element x y z (fractional)
Sb  0.500  0.000  0.000
Sb  0.000  0.500  0.000
Sc  0.500  0.000  0.500
Sc  0.500  0.500  0.000
Er  0.000  0.000  0.000
Sb  0.000  0.000  0.500
Sc  0.000  0.500  0.500
Sb  0.500  0.500  0.500

Electronic total energy in eV/atom: -5.9714
SG: Pm-3m
Uncorrected formation energy in eV/atom: -0.965
Fermi-level density of states in states/eV per atom: 0.0357
Energy above the most stable polymorph in this dataset in meV/atom: 4

(5)
Er12ScSb6: optimized geometry, PBE.

Cell lengths 8.942, 8.942, 8.942 Å; angles 110.68, 110.68, 110.68 degrees
Element x y z (fractional)
Sb  0.918  0.422  0.641
Er  0.465  0.199  0.328
Er  0.813  0.272  0.905
Sb  0.422  0.641  0.918
Er  0.801  0.672  0.535
Er  0.199  0.328  0.465
Sb  0.641  0.918  0.422
Er  0.535  0.801  0.672
Er  0.272  0.905  0.813
Sb  0.578  0.359  0.082
Er  0.672  0.535  0.801
Er  0.328  0.465  0.199
Er  0.095  0.187  0.728
Sb  0.359  0.082  0.578
Er  0.187  0.728  0.095
Sb  0.082  0.578  0.359
Er  0.728  0.095  0.187
Er  0.905  0.813  0.272
Sc  0.000  0.000  0.000

Electronic total energy in eV/atom: -5.0587
SG: R-3
Uncorrected formation energy in eV/atom: -0.542
Fermi-level density of states in states/eV per atom: 0.7435

(6)
Er4ScSb: optimized geometry, PBE.

Cell lengths 5.070, 5.071, 7.551 Å; angles 89.96, 89.98, 90.00 degrees
Element x y z (fractional)
Er  0.001  0.497  0.741
Er  0.501  0.998  0.741
Er  0.501  0.997  0.256
Er  0.001  0.497  0.256
Sb  0.501  0.497  0.998
Sc  0.001  0.997  0.498

Electronic total energy in eV/atom: -4.7071
SG: P4/mmm
Uncorrected formation energy in eV/atom: 0.077
Fermi-level density of states in states/eV per atom: 1.2219

(7)
Er3ScSb3: optimized geometry, PBE.

Cell lengths 8.739, 8.739, 7.889 Å; angles 56.37, 56.37, 60.00 degrees
Element x y z (fractional)
Sb  0.691  0.076  0.757
Er  0.087  0.824  0.749
Sc  0.666  0.666  0.001
Sb  0.076  0.476  0.757
Sb  0.476  0.691  0.757
Er  0.824  0.340  0.749
Sb  0.524  0.309  0.243
Er  0.660  0.913  0.251
Sc  0.334  0.334  0.999
Er  0.340  0.087  0.749
Sb  0.309  0.924  0.243
Er  0.176  0.660  0.251
Sb  0.924  0.524  0.243
Er  0.913  0.176  0.251

Electronic total energy in eV/atom: -5.4764
SG: R-3
Uncorrected formation energy in eV/atom: -0.850
Fermi-level density of states in states/eV per atom: 0.7636

(8)
Er4ScSb5: optimized geometry, PBE.

Cell lengths 4.322, 4.322, 15.556 Å; angles 97.99, 97.99, 90.00 degrees
Element x y z (fractional)
Sb  0.097  0.097  0.195
Sb  0.700  0.700  0.400
Sb  0.500  0.500  0.000
Er  0.199  0.199  0.398
Sb  0.300  0.300  0.600
Sb  0.903  0.903  0.805
Er  0.801  0.801  0.602
Er  0.401  0.401  0.801
Sc  0.000  0.000  0.000
Er  0.599  0.599  0.199

Electronic total energy in eV/atom: -5.5735
SG: I4/mmm
Uncorrected formation energy in eV/atom: -1.054
Fermi-level density of states in states/eV per atom: 0.1291